Record 1
DFT (GGA-PBE) results for a relaxed structure of CsLa2Hg.

Density of states at the Fermi level   10.0 states/eV/cell
M_tot   0.28 μB per atom
Raw total energy   -2.450 eV per atom
ΔH_f (0 K)   1.21 eV per formula unit
Space group   I-42d

Geometry as POSCAR:
```
CsLa2Hg
1.0
4.980 0.000 0.000
0.000 4.980 0.000
0.000 0.000 25.617
Cs La Hg
4 8 4
Cartesian
0.000 0.000 0.000
0.000 2.490 6.404
2.490 0.000 19.213
2.490 2.490 12.808
0.924 1.245 16.011
1.245 3.414 22.415
1.245 4.056 9.606
1.566 1.245 3.202
3.414 3.735 3.202
3.735 0.924 9.606
3.735 1.566 22.415
4.056 3.735 16.011
0.000 0.000 12.808
0.000 2.490 19.213
2.490 0.000 6.404
2.490 2.490 0.000
```


Record 2
DFT (GGA-PBE) results for a relaxed structure of Pm2YEr.

Density of states at the Fermi level   14.1 states/eV/cell
M_tot   0.00 μB per atom
Raw total energy   -5.119 eV per atom
ΔH_f (0 K)   0.05 eV per formula unit
Space group   R-3m

Geometry as POSCAR:
```
Pm2YEr
1.0
3.600 0.000 0.000
-1.800 3.117 0.000
0.000 0.000 34.957
Pm Y Er
6 3 3
Cartesian
0.000 0.000 8.716
0.000 0.000 26.241
0.000 2.078 14.588
0.000 2.078 32.021
1.800 1.039 2.936
1.800 1.039 20.368
0.000 0.000 0.000
0.000 2.078 23.305
1.800 1.039 11.652
0.000 0.000 17.478
0.000 2.078 5.826
1.800 1.039 29.131
```


Record 3
DFT (GGA-PBE) results for a relaxed structure of CaIrCl.

Density of states at the Fermi level   7.7 states/eV/cell
Formation energy (no corrections)   -1162 meV per atom
M_tot   0.00 μB per atom
Raw total energy   -5.398 eV per atom
Space group   I4/mmm

Geometry as POSCAR:
```
CaIrCl
1.0
3.638 0.000 0.000
0.000 3.638 0.000
0.000 0.000 21.094
Ca Ir Cl
4 4 4
Cartesian
0.000 0.000 2.465
0.000 0.000 18.629
1.819 1.819 8.082
1.819 1.819 13.012
0.000 1.819 0.000
0.000 1.819 10.547
1.819 0.000 0.000
1.819 0.000 10.547
0.000 0.000 6.850
0.000 0.000 14.244
1.819 1.819 3.697
1.819 1.819 17.397
```


Record 4
DFT (GGA-PBE) results for a relaxed structure of Lu3Sc.

Density of states at the Fermi level   39.0 states/eV/cell
M_tot   0.14 μB per atom
Raw total energy   -4.842 eV per atom
ΔH_f (0 K)   0.53 eV per formula unit
Space group   Fm-3m

Geometry as POSCAR:
```
Lu3Sc
1.0
7.700 0.000 0.000
0.000 7.700 0.000
0.000 0.000 7.700
Lu Sc
12 4
Cartesian
0.000 0.000 0.000
0.000 3.850 3.850
1.925 1.925 1.925
1.925 1.925 5.775
1.925 5.775 1.925
1.925 5.775 5.775
3.850 0.000 3.850
3.850 3.850 0.000
5.775 1.925 1.925
5.775 1.925 5.775
5.775 5.775 1.925
5.775 5.775 5.775
0.000 0.000 3.850
0.000 3.850 0.000
3.850 0.000 0.000
3.850 3.850 3.850
```


Record 5
DFT (GGA-PBE) results for a relaxed structure of BaNaErF6.

Density of states at the Fermi level   0.0 states/eV/cell
Formation energy (no corrections)   -3742 meV per atom
M_tot   0.02 μB per atom
Raw total energy   -5.857 eV per atom
Space group   P-31c

Geometry as POSCAR:
```
BaNaErF6
1.0
5.944 0.000 0.000
-2.972 5.148 0.000
0.000 0.000 11.071
Ba Na Er F
2 2 2 12
Cartesian
0.000 0.000 0.000
0.000 0.000 5.535
0.000 3.432 2.768
2.972 1.716 8.303
0.000 3.432 8.303
2.972 1.716 2.768
-0.967 1.901 7.110
-1.810 3.360 9.497
0.967 1.901 9.497
-0.842 5.035 7.110
2.130 0.112 1.574
1.162 1.788 3.961
1.810 3.360 7.110
0.842 5.035 9.497
3.814 0.112 3.961
2.005 3.247 1.574
4.782 1.788 1.574
3.940 3.247 3.961
```


Record 6
DFT (GGA-PBE) results for a relaxed structure of K3LaZr.

Density of states at the Fermi level   7.8 states/eV/cell
M_tot   0.56 μB per atom
Raw total energy   -1.913 eV per atom
ΔH_f (0 K)   7.20 eV per formula unit
Space group   Pm-3m

Geometry as POSCAR:
```
K3LaZr
1.0
6.150 0.000 0.000
0.000 6.150 0.000
0.000 0.000 6.150
K La Zr
3 1 1
Cartesian
0.000 0.000 3.075
0.000 3.075 0.000
3.075 0.000 0.000
3.075 3.075 3.075
0.000 0.000 0.000
```